# PBE-GGA RbMgBi2, optimized geometry
data_RbMgBi2
_symmetry_space_group_name_H-M 'P 1'
_symmetry_Int_Tables_number 1
_cell_length_a 5.693
_cell_length_b 5.693
_cell_length_c 5.693
_cell_angle_alpha 60.00
_cell_angle_beta 60.00
_cell_angle_gamma 60.00
loop_
_symmetry_equiv_pos_as_xyz
'x,y,z'
loop_
_atom_site_label
_atom_site_fract_x
_atom_site_fract_y
_atom_site_fract_z
Bi1 0.750 0.750 0.750
Bi2 0.250 0.250 0.250
Mg1 0.000 0.000 0.000
Rb1 0.500 0.500 0.500
# - volume (Å³ per cell) = 130.5
# - formation enthalpy at 0 K (eV per atom) = 0.00
# - raw total energy (eV per atom) = -2.584
# - total moment (μB/atom) = 0.000
# - space-group type = Fm-3m

# PBE-GGA YIn3Ag, optimized geometry
data_YIn3Ag
_symmetry_space_group_name_H-M 'P 1'
_symmetry_Int_Tables_number 1
_cell_length_a 5.251
_cell_length_b 5.251
_cell_length_c 5.251
_cell_angle_alpha 90.00
_cell_angle_beta 90.00
_cell_angle_gamma 90.00
loop_
_symmetry_equiv_pos_as_xyz
'x,y,z'
loop_
_atom_site_label
_atom_site_fract_x
_atom_site_fract_y
_atom_site_fract_z
Y1 0.500 0.500 0.500
In1 0.000 0.000 0.500
In2 0.500 0.000 0.000
In3 0.000 0.500 0.000
Ag1 0.000 0.000 0.000
# - volume (Å³ per cell) = 144.8
# - formation enthalpy at 0 K (eV per atom) = 0.18
# - raw total energy (eV per atom) = -3.326
# - total moment (μB/atom) = 0.000
# - space-group type = Pm-3m

# PBE-GGA LiPm3Sm3Se8, optimized geometry
data_LiPm3Sm3Se8
_symmetry_space_group_name_H-M 'P 1'
_symmetry_Int_Tables_number 1
_cell_length_a 8.314
_cell_length_b 8.314
_cell_length_c 8.309
_cell_angle_alpha 120.02
_cell_angle_beta 90.00
_cell_angle_gamma 120.00
loop_
_symmetry_equiv_pos_as_xyz
'x,y,z'
loop_
_atom_site_label
_atom_site_fract_x
_atom_site_fract_y
_atom_site_fract_z
Se1 0.245 0.490 0.746
Se2 0.756 0.001 0.746
Se3 0.751 0.501 0.752
Se4 0.244 0.999 0.254
Se5 0.755 0.999 0.254
Se6 0.755 0.510 0.254
Se7 0.245 0.001 0.746
Se8 0.249 0.499 0.248
Sm1 0.000 0.500 0.000
Sm2 0.500 0.500 0.000
Sm3 0.000 0.000 0.000
Li1 0.000 0.000 0.500
Pm1 0.500 0.000 0.500
Pm2 0.000 0.500 0.500
Pm3 0.500 0.500 0.500
# - volume (Å³ per cell) = 405.9
# - raw total energy (eV per atom) = -5.696
# - total moment (μB/atom) = 0.000
# - space-group type = R-3m
# - E_form (uncorrected) (meV/atom) = -1816

# PBE-GGA Sn2SO5, optimized geometry
data_Sn2SO5
_symmetry_space_group_name_H-M 'P 1'
_symmetry_Int_Tables_number 1
_cell_length_a 9.055
_cell_length_b 11.313
_cell_length_c 11.313
_cell_angle_alpha 90.00
_cell_angle_beta 90.00
_cell_angle_gamma 90.00
loop_
_symmetry_equiv_pos_as_xyz
'x,y,z'
loop_
_atom_site_label
_atom_site_fract_x
_atom_site_fract_y
_atom_site_fract_z
O1 0.645 0.841 0.818
O2 0.386 0.624 0.513
O3 0.855 0.659 0.318
O4 0.497 0.786 0.339
O5 0.445 0.159 0.326
O6 0.497 0.214 0.661
O7 0.114 0.124 0.987
O8 0.145 0.682 0.659
O9 0.555 0.674 0.159
O10 0.997 0.839 0.286
O11 0.114 0.876 0.013
O12 0.611 0.885 0.170
O13 0.889 0.615 0.670
O14 0.614 0.513 0.376
O15 0.555 0.326 0.841
O16 0.055 0.341 0.826
O17 0.614 0.487 0.624
O18 0.055 0.659 0.174
O19 0.997 0.161 0.714
O20 0.386 0.376 0.487
O21 0.611 0.115 0.830
O22 0.945 0.174 0.341
O23 0.355 0.182 0.841
O24 0.645 0.159 0.182
O25 0.145 0.318 0.341
O26 0.389 0.830 0.885
O27 0.445 0.841 0.674
O28 0.111 0.330 0.615
O29 0.886 0.987 0.876
O30 0.111 0.670 0.385
O31 0.003 0.286 0.161
O32 0.945 0.826 0.659
O33 0.355 0.818 0.159
O34 0.886 0.013 0.124
O35 0.855 0.341 0.682
O36 0.003 0.714 0.839
O37 0.503 0.661 0.786
O38 0.389 0.170 0.115
O39 0.889 0.385 0.330
O40 0.503 0.339 0.214
S1 0.493 0.792 0.789
S2 0.993 0.711 0.708
S3 0.507 0.211 0.792
S4 0.507 0.789 0.208
S5 0.007 0.292 0.711
S6 0.007 0.708 0.289
S7 0.993 0.289 0.292
S8 0.493 0.208 0.211
Sn1 0.743 0.513 0.215
Sn2 0.257 0.785 0.513
Sn3 0.365 0.495 0.658
Sn4 0.243 0.715 0.013
Sn5 0.243 0.285 0.987
Sn6 0.743 0.487 0.785
Sn7 0.257 0.215 0.487
Sn8 0.757 0.013 0.285
Sn9 0.865 0.158 0.995
Sn10 0.365 0.505 0.342
Sn11 0.865 0.842 0.005
Sn12 0.135 0.995 0.842
Sn13 0.135 0.005 0.158
Sn14 0.635 0.658 0.505
Sn15 0.757 0.987 0.715
Sn16 0.635 0.342 0.495
# - volume (Å³ per cell) = 1158.9
# - raw total energy (eV per atom) = -5.991
# - total moment (μB/atom) = 0.000
# - space-group type = P-42_1c
# - E_form (uncorrected) (meV/atom) = -1375